A plane-wave DFT calculation with PBE was carried out for a relaxed structure of Ac6RuPt2Au.

Results
Energy relative to the elements   -679 meV per atom
DFT total energy   -56.07 eV/cell
Crystal system   trigonal
M_tot   0.0 μB/cell

abc: 8.372 8.372 8.372
angles: 54.29 54.29 54.29
Atoms (fractional coordinates):
Ac  0.005  0.331  0.665
Ac  0.189  0.805  0.483
Ac  0.331  0.665  0.005
Ac  0.483  0.189  0.805
Ac  0.665  0.005  0.331
Ac  0.805  0.483  0.189
Ru  0.404  0.404  0.404
Pt  0.083  0.083  0.083
Pt  0.587  0.587  0.587
Au  0.906  0.906  0.906